(1)
The following is a PBE calculation of a relaxed structure of Ca2ZnCl, from Alexandria via LeMat-Bulk.

Output
- Crystal system: orthorhombic
- ΔE to the lowest computed polymorph: 0.000 eV/atom
- Space group: Pmmm

Lattice parameters (Å, degrees): 3.595 3.836 8.094 90.00 90.00 90.00
Atoms (fractional coordinates):
Ca  0.000  0.000  0.224
Ca  0.000  0.000  0.776
Zn  0.500  0.500  0.000
Cl  0.500  0.000  0.500

(2)
The following is a PBE calculation of a relaxed structure of PaTaSi, from Alexandria via LeMat-Bulk.

Output
- Crystal system: tetragonal
- ΔE to the lowest computed polymorph: 0.000 eV/atom
- Space group: I4/mmm

Lattice parameters (Å, degrees): 8.138 8.138 8.138 151.53 151.53 40.70
Atoms (fractional coordinates):
Pa  0.176  0.176  0.000
Pa  0.824  0.824  0.000
Ta  0.000  0.500  0.500
Ta  0.500  0.000  0.500
Si  0.376  0.376  0.000
Si  0.624  0.624  0.000

(3)
The following is a PBE calculation of a relaxed structure of PuCO, from Alexandria via LeMat-Bulk.

Output
- Crystal system: monoclinic
- Space group: C2/m

Lattice parameters (Å, degrees): 3.827 3.827 6.806 95.21 95.21 59.85
Atoms (fractional coordinates):
Pu  0.145  0.145  0.275
Pu  0.855  0.855  0.725
C  0.437  0.437  0.066
C  0.563  0.563  0.934
O  0.181  0.181  0.623
O  0.819  0.819  0.377

| no. | formation energy (no corrections) (eV per atom) | DOS(E_F) (states/eV/f.u.) | size of the total moment (μB per cell) |
| --- | --- | --- | --- |
| 1 | -0.91 | 3.16 | 0.00 |
| 2 | -0.39 | 4.10 | 0.00 |
| 3 | -1.56 | 5.34 | 9.71 |